1.
MgZnSe2 | GGA-PBE | relaxed

Lattice parameters (Å, degrees): 11.776 11.776 4.374 90.00 90.00 159.96
Atoms (fractional coordinates):
Mg 0.181 0.819 0.750
Mg 0.819 0.181 0.250
Zn 0.428 0.572 0.750
Zn 0.572 0.428 0.250
Se 0.073 0.927 0.750
Se 0.247 0.753 0.250
Se 0.753 0.247 0.750
Se 0.927 0.073 0.250

## Properties
The energy relative to the elements, uncorrected comes out at -0.325 eV/atom. As for the crystal system: orthorhombic. The density of states at the Fermi level comes out at 1.2 states/eV/f.u. As for the calculated total energy: -2.785 eV/atom. The volume comes out at 25.99 Å³/atom.


2.
TlSiAu2 | GGA-PBE | relaxed

Lattice parameters (Å, degrees): 5.389 5.389 5.389 133.83 133.83 67.35
Atoms (fractional coordinates):
Tl 0.000 0.000 0.000
Si 0.750 0.250 0.500
Au 0.250 0.750 0.500
Au 0.500 0.500 0.000

## Properties
The energy relative to the elements, uncorrected comes out at 0.322 eV/atom. As for the crystal system: tetragonal. The density of states at the Fermi level comes out at 1.4 states/eV/f.u. As for the offset from the most stable computed form: 137 kJ/mol of formula units. As for the calculated total energy: -3.264 eV/atom. The volume comes out at 20.02 Å³/atom.


3.
PrAl6Cu3 | GGA-PBE | relaxed

Lattice parameters (Å, degrees): 9.075 4.054 9.808 90.00 97.63 90.00
Atoms (fractional coordinates):
Pr 0.022 0.250 0.201
Pr 0.978 0.750 0.799
Al 0.103 0.750 0.471
Al 0.206 0.250 0.671
Al 0.206 0.250 0.942
Al 0.368 0.250 0.210
Al 0.416 0.750 0.572
Al 0.494 0.250 0.903
Al 0.506 0.750 0.097
Al 0.584 0.250 0.428
Al 0.632 0.750 0.790
Al 0.794 0.750 0.058
Al 0.794 0.750 0.329
Al 0.897 0.250 0.529
Cu 0.236 0.750 0.083
Cu 0.299 0.250 0.446
Cu 0.345 0.750 0.827
Cu 0.655 0.250 0.173
Cu 0.701 0.750 0.554
Cu 0.764 0.250 0.917

## Properties
As for the crystal system: monoclinic. The density of states at the Fermi level comes out at 4.5 states/eV/f.u. As for the calculated total energy: -4.119 eV/atom. The calculation puts the formation energy at -0.167 eV per atom. The volume comes out at 17.88 Å³/atom.


4.
ZrNiBr2 | GGA-PBE | relaxed

Lattice parameters (Å, degrees): 8.617 8.617 8.617 23.53 23.53 23.53
Atoms (fractional coordinates):
Zr 0.000 0.000 0.000
Ni 0.500 0.500 0.500
Br 0.106 0.106 0.106
Br 0.894 0.894 0.894

## Properties
The energy relative to the elements, uncorrected comes out at -0.004 eV/atom. As for the crystal system: trigonal. The density of states at the Fermi level comes out at 4.9 states/eV/f.u. As for the offset from the most stable computed form: 270 kJ/mol of formula units. As for the calculated total energy: -4.422 eV/atom. The volume comes out at 22.40 Å³/atom.


5.
LiAu | GGA-PBE | relaxed

Lattice parameters (Å, degrees): 4.493 4.493 5.190 90.00 90.00 120.00
Atoms (fractional coordinates):
Li 0.333 0.667 0.250
Li 0.667 0.333 0.750
Au 0.333 0.667 0.750
Au 0.667 0.333 0.250

## Properties
As for the crystal system: hexagonal. The density of states at the Fermi level comes out at 0.2 states/eV/f.u. As for the calculated total energy: -2.781 eV/atom. The calculation puts the formation energy at -0.186 eV per atom. The volume comes out at 22.68 Å³/atom.


6.
Mg4TeW | GGA-PBE | relaxed

Lattice parameters (Å, degrees): 5.559 5.559 5.559 60.00 60.00 60.00
Atoms (fractional coordinates):
Mg 0.377 0.377 0.377
Mg 0.377 0.377 0.870
Mg 0.377 0.870 0.377
Mg 0.870 0.377 0.377
Te 0.000 0.000 0.000
W 0.750 0.750 0.750

## Properties
The energy relative to the elements, uncorrected comes out at 0.581 eV/atom. As for the crystal system: cubic. The density of states at the Fermi level comes out at 7.0 states/eV/f.u. As for the calculated total energy: -3.165 eV/atom. The volume comes out at 20.25 Å³/atom.


7.
Ho13Sc3 | GGA-PBE | relaxed

Lattice parameters (Å, degrees): 7.112 8.253 8.253 83.82 90.00 90.00
Atoms (fractional coordinates):
Ho 0.000 0.000 0.000
Ho 0.000 0.428 0.914
Ho 0.000 0.503 0.503
Ho 0.000 0.914 0.428
Ho 0.251 0.250 0.250
Ho 0.252 0.165 0.673
Ho 0.252 0.673 0.165
Ho 0.500 0.422 0.916
Ho 0.500 0.504 0.504
Ho 0.500 0.916 0.422
Ho 0.748 0.165 0.673
Ho 0.748 0.673 0.165
Ho 0.749 0.250 0.250
Sc 0.253 0.755 0.755
Sc 0.500 0.998 0.998
Sc 0.747 0.755 0.755

## Properties
As for the crystal system: orthorhombic. The density of states at the Fermi level comes out at 29.0 states/eV/f.u. As for the calculated total energy: -4.890 eV/atom. The calculation puts the formation energy at 0.017 eV per atom. The volume comes out at 30.10 Å³/atom.


8.
Tb2Sm4Dy2Er | GGA-PBE | relaxed

Lattice parameters (Å, degrees): 8.010 8.010 8.001 107.52 107.52 36.83
Atoms (fractional coordinates):
Tb 0.111 0.111 0.169
Tb 0.889 0.889 0.831
Sm 0.222 0.222 0.832
Sm 0.445 0.445 0.168
Sm 0.555 0.555 0.832
Sm 0.778 0.778 0.168
Dy 0.334 0.334 0.500
Dy 0.666 0.666 0.500
Er 0.000 0.000 0.500

## Properties
As for the crystal system: monoclinic. The density of states at the Fermi level comes out at 12.9 states/eV/f.u. As for the calculated total energy: -4.638 eV/atom. The calculation puts the formation energy at 0.018 eV per atom. The volume comes out at 32.42 Å³/atom.


9.
CeY | GGA-PBE | relaxed

Lattice parameters (Å, degrees): 3.635 4.469 7.496 90.00 96.27 90.00
Atoms (fractional coordinates):
Ce 0.178 0.250 0.091
Ce 0.822 0.750 0.909
Y 0.273 0.250 0.634
Y 0.727 0.750 0.366

## Properties
As for the crystal system: monoclinic. The density of states at the Fermi level comes out at 5.9 states/eV/f.u. As for the offset from the most stable computed form: 0 kJ/mol of formula units. As for the calculated total energy: -6.096 eV/atom. The calculation puts the formation energy at 0.103 eV per atom. The volume comes out at 30.26 Å³/atom.


10.
Ir2RuRh5 | GGA-PBE | relaxed

Lattice parameters (Å, degrees): 7.216 7.216 7.216 125.64 125.64 80.49
Atoms (fractional coordinates):
Ir 0.136 0.636 0.773
Ir 0.364 0.136 0.500
Ir 0.636 0.864 0.500
Ir 0.864 0.364 0.227
Ru 0.250 0.250 0.000
Ru 0.750 0.750 0.000
Rh 0.000 0.000 0.000
Rh 0.011 0.820 0.500
Rh 0.180 0.680 0.191
Rh 0.320 0.511 0.500
Rh 0.489 0.989 0.809
Rh 0.500 0.500 0.000
Rh 0.511 0.011 0.191
Rh 0.680 0.489 0.500
Rh 0.820 0.320 0.809
Rh 0.989 0.180 0.500

## Properties
As for the crystal system: tetragonal. The density of states at the Fermi level comes out at 12.7 states/eV/f.u. As for the offset from the most stable computed form: 226 kJ/mol of formula units. As for the calculated total energy: -7.661 eV/atom. The calculation puts the formation energy at 0.309 eV per atom. The volume comes out at 14.96 Å³/atom.


11.
CePmOs4 | GGA-PBE | relaxed

Lattice parameters (Å, degrees): 5.413 5.413 5.413 60.00 60.00 60.00
Atoms (fractional coordinates):
Ce 0.000 0.000 0.000
Pm 0.750 0.750 0.750
Os 0.375 0.375 0.375
Os 0.375 0.375 0.875
Os 0.375 0.875 0.375
Os 0.875 0.375 0.375

## Properties
As for the crystal system: cubic. The density of states at the Fermi level comes out at 4.5 states/eV/f.u. As for the calculated total energy: -9.450 eV/atom. The calculation puts the formation energy at -0.183 eV per atom. The volume comes out at 18.69 Å³/atom.


12.
Pm2PdAu3 | GGA-PBE | relaxed

Lattice parameters (Å, degrees): 3.612 4.845 7.896 90.00 90.00 90.00
Atoms (fractional coordinates):
Pm 0.000 0.000 0.000
Pm 0.000 0.500 0.482
Pd 0.500 0.000 0.311
Au 0.500 0.000 0.653
Au 0.500 0.500 0.161
Au 0.500 0.500 0.815

## Properties
As for the crystal system: orthorhombic. The density of states at the Fermi level comes out at 3.9 states/eV/f.u. As for the calculated total energy: -4.841 eV/atom. The calculation puts the formation energy at -0.753 eV per atom. The volume comes out at 23.03 Å³/atom.


13.
MgGa2ReRh | GGA-PBE | relaxed

Lattice parameters (Å, degrees): 4.653 4.653 4.921 90.00 90.00 90.00
Atoms (fractional coordinates):
Mg 0.000 0.000 0.000
Ga 0.000 0.500 0.500
Ga 0.500 0.000 0.500
Re 0.500 0.500 0.000
Rh 0.500 0.500 0.500

## Properties
As for the crystal system: tetragonal. The density of states at the Fermi level comes out at 4.4 states/eV/f.u. As for the calculated total energy: -4.795 eV/atom. The calculation puts the formation energy at 0.695 eV per atom. The volume comes out at 21.31 Å³/atom.


14.
MnZn2Pb | GGA-PBE | relaxed

Lattice parameters (Å, degrees): 4.763 4.763 5.423 100.33 100.33 40.29
Atoms (fractional coordinates):
Mn 0.000 0.000 0.000
Zn 0.263 0.263 0.813
Zn 0.737 0.737 0.187
Pb 0.500 0.500 0.500

## Properties
As for the crystal system: monoclinic. The density of states at the Fermi level comes out at 2.5 states/eV/f.u. As for the calculated total energy: -3.574 eV/atom. The calculation puts the formation energy at 0.282 eV per atom. The volume comes out at 19.53 Å³/atom.


15.
Fe2HgRu | GGA-PBE | relaxed

Lattice parameters (Å, degrees): 8.782 8.782 8.782 18.54 18.54 18.54
Atoms (fractional coordinates):
Fe 0.000 0.000 0.000
Fe 0.263 0.263 0.263
Hg 0.758 0.758 0.758
Ru 0.521 0.521 0.521

## Properties
As for the crystal system: trigonal. The density of states at the Fermi level comes out at 4.8 states/eV/f.u. As for the calculated total energy: -6.222 eV/atom. The calculation puts the formation energy at 0.404 eV per atom. The volume comes out at 14.96 Å³/atom.


16.
LaSnPS2 | GGA-PBE | relaxed

Lattice parameters (Å, degrees): 4.982 4.982 5.006 90.00 90.00 90.00
Atoms (fractional coordinates):
La 0.000 0.000 0.000
Sn 0.500 0.500 0.500
P 0.500 0.500 0.000
S 0.000 0.500 0.500
S 0.500 0.000 0.500

## Properties
The energy relative to the elements, uncorrected comes out at -0.528 eV/atom. As for the crystal system: tetragonal. The density of states at the Fermi level comes out at 3.0 states/eV/f.u. As for the offset from the most stable computed form: 0 kJ/mol of formula units. As for the calculated total energy: -5.047 eV/atom. The volume comes out at 24.85 Å³/atom.


17.
BeTeOs2 | GGA-PBE | relaxed

Lattice parameters (Å, degrees): 2.864 2.864 8.393 90.00 90.00 116.73
Atoms (fractional coordinates):
Be 0.000 0.000 0.000
Te 0.000 0.000 0.500
Os 0.500 0.500 0.202
Os 0.500 0.500 0.798

## Properties
The energy relative to the elements, uncorrected comes out at 0.824 eV/atom. As for the crystal system: orthorhombic. The density of states at the Fermi level comes out at 3.2 states/eV/f.u. As for the offset from the most stable computed form: 141 kJ/mol of formula units. As for the calculated total energy: -6.508 eV/atom. The volume comes out at 15.37 Å³/atom.


18.
Rb2BaZr3O8 | GGA-PBE | relaxed

Lattice parameters (Å, degrees): 7.632 7.632 7.632 51.98 51.98 51.98
Atoms (fractional coordinates):
Rb 0.000 0.000 0.000
Rb 0.370 0.370 0.370
Ba 0.753 0.753 0.753
Zr 0.371 0.371 0.875
Zr 0.371 0.875 0.371
Zr 0.875 0.371 0.371
O 0.111 0.111 0.550
O 0.111 0.550 0.111
O 0.147 0.147 0.147
O 0.187 0.629 0.629
O 0.550 0.111 0.111
O 0.597 0.597 0.597
O 0.629 0.187 0.629
O 0.629 0.629 0.187

## Properties
The energy relative to the elements, uncorrected comes out at -2.782 eV/atom. As for the crystal system: trigonal. The density of states at the Fermi level comes out at 0.0 states/eV/f.u. As for the calculated total energy: -7.723 eV/atom. The volume comes out at 18.22 Å³/atom.


19.
SrMn2TcBi | GGA-PBE | relaxed

Lattice parameters (Å, degrees): 4.814 4.814 5.668 90.00 90.00 90.00
Atoms (fractional coordinates):
Sr 0.000 0.000 0.000
Mn 0.000 0.500 0.500
Mn 0.500 0.000 0.500
Tc 0.000 0.000 0.500
Bi 0.500 0.500 0.000

## Properties
As for the crystal system: tetragonal. The density of states at the Fermi level comes out at 6.7 states/eV/f.u. As for the calculated total energy: -6.021 eV/atom. The calculation puts the formation energy at 0.832 eV per atom. The volume comes out at 26.27 Å³/atom.


20.
BC2 | GGA-PBE | relaxed

Lattice parameters (Å, degrees): 6.097 6.097 5.086 101.89 101.89 24.55
Atoms (fractional coordinates):
B 0.000 0.000 0.000
B 0.005 0.005 0.459
B 0.249 0.249 0.859
B 0.892 0.892 0.695
C 0.246 0.246 0.355
C 0.322 0.322 0.633
C 0.327 0.327 0.156
C 0.588 0.588 0.029
C 0.589 0.589 0.526
C 0.655 0.655 0.811
C 0.667 0.667 0.314
C 0.900 0.900 0.190

## Properties
As for the crystal system: monoclinic. The density of states at the Fermi level comes out at 0.3 states/eV/f.u. As for the offset from the most stable computed form: 16 kJ/mol of formula units. As for the calculated total energy: -8.080 eV/atom. The calculation puts the formation energy at 0.295 eV per atom. The volume comes out at 6.40 Å³/atom.